(1)
# Tm5CoTe3 | OQMD via LeMat-Bulk | PBE | relaxed
data_Tm5CoTe3
_chemical_formula_sum 'Tm5 Co1 Te3'
_cell_length_a 8.4495
_cell_length_b 8.4495
_cell_length_c 3.7135
_cell_angle_alpha 90.00
_cell_angle_beta 90.00
_cell_angle_gamma 120.00
_symmetry_space_group_name_H-M 'P -6 2 m'
_symmetry_Int_Tables_number 189
_symmetry_space_group_name_Hall 'P -6 -2'
loop_
_atom_site_label
_atom_site_type_symbol
_atom_site_fract_x
_atom_site_fract_y
_atom_site_fract_z
Tm1 Tm 0.0000 0.2241 0.0000
Tm2 Tm 0.3333 0.6667 0.0000
Co1 Co 0.0000 0.0000 0.5000
Te1 Te 0.0000 0.5958 0.5000
# - Energy above the lowest structure with this stoichiometry: 0 meV/atom

(2)
# Tm5CoTe3 | OQMD via LeMat-Bulk | PBE | relaxed
data_Tm5CoTe3
_chemical_formula_sum 'Tm5 Co1 Te3'
_cell_length_a 8.1137
_cell_length_b 8.1137
_cell_length_c 4.0283
_cell_angle_alpha 90.00
_cell_angle_beta 90.00
_cell_angle_gamma 120.00
_symmetry_space_group_name_H-M 'P -6 2 m'
_symmetry_Int_Tables_number 189
_symmetry_space_group_name_Hall 'P -6 -2'
loop_
_atom_site_label
_atom_site_type_symbol
_atom_site_fract_x
_atom_site_fract_y
_atom_site_fract_z
Tm1 Tm 0.0000 0.6732 0.0000
Tm2 Tm 0.3333 0.6667 0.5000
Co1 Co 0.0000 0.0000 0.0000
Te1 Te 0.0000 0.2585 0.5000
# - Energy above the lowest structure with this stoichiometry: 99 meV/atom

(3)
# Tm2CoTe6 | OQMD via LeMat-Bulk | PBE | relaxed
data_Tm2CoTe6
_chemical_formula_sum 'Tm2 Co1 Te6'
_cell_length_a 8.2786
_cell_length_b 8.2786
_cell_length_c 3.8827
_cell_angle_alpha 90.00
_cell_angle_beta 90.00
_cell_angle_gamma 120.00
_symmetry_space_group_name_H-M 'P -6 2 m'
_symmetry_Int_Tables_number 189
_symmetry_space_group_name_Hall 'P -6 -2'
loop_
_atom_site_label
_atom_site_type_symbol
_atom_site_fract_x
_atom_site_fract_y
_atom_site_fract_z
Tm1 Tm 0.3333 0.6667 0.0000
Co1 Co 0.0000 0.0000 0.5000
Te1 Te 0.0000 0.2206 0.0000
Te2 Te 0.0000 0.5510 0.5000
# - Energy: -40.6 eV per cell

(4)
# TmCoTe2 | OQMD via LeMat-Bulk | PBE | relaxed
data_TmCoTe2
_chemical_formula_sum 'Tm4 Co4 Te8'
_cell_length_a 6.348
_cell_length_b 6.348
_cell_length_c 12.561
_cell_angle_alpha 90.00
_cell_angle_beta 90.00
_cell_angle_gamma 90.00
_symmetry_space_group_name_H-M 'I -4 2 d'
_symmetry_Int_Tables_number 122
_symmetry_space_group_name_Hall 'I -4 2bw'
loop_
_atom_site_label
_atom_site_type_symbol
_atom_site_fract_x
_atom_site_fract_y
_atom_site_fract_z
Tm1 Tm 0.000 0.000 0.000
Co1 Co 0.000 0.000 0.500
Te1 Te 0.201 0.750 0.625
# - Energy: -77.8 eV per cell

(5)
# Y3Tm4Co2Te2 | OQMD via LeMat-Bulk | PBE | relaxed
data_Y3Tm4Co2Te2
_chemical_formula_sum 'Y6 Tm8 Co4 Te4'
_cell_length_a 3.847
_cell_length_b 15.576
_cell_length_c 9.377
_cell_angle_alpha 90.00
_cell_angle_beta 90.00
_cell_angle_gamma 90.00
_symmetry_space_group_name_H-M 'I m m 2'
_symmetry_Int_Tables_number 44
_symmetry_space_group_name_Hall 'I 2 -2'
loop_
_atom_site_label
_atom_site_type_symbol
_atom_site_fract_x
_atom_site_fract_y
_atom_site_fract_z
Y1 Y 0.000 0.000 0.000
Y2 Y 0.000 0.350 0.265
Tm1 Tm 0.000 0.135 0.416
Tm2 Tm 0.000 0.315 0.623
Co1 Co 0.000 0.240 0.933
Te1 Te 0.000 0.000 0.660
Te2 Te 0.000 0.500 0.767
# - Energy: -129.3 eV per cell

(6)
# CoTe2W | OQMD via LeMat-Bulk | PBE | relaxed
data_CoTe2W
_chemical_formula_sum 'Co4 Te8 W4'
_cell_length_a 6.735
_cell_length_b 6.735
_cell_length_c 6.735
_cell_angle_alpha 90.00
_cell_angle_beta 90.00
_cell_angle_gamma 90.00
_symmetry_space_group_name_H-M 'F -4 3 m'
_symmetry_Int_Tables_number 216
_symmetry_space_group_name_Hall 'F -4 2 3'
loop_
_atom_site_label
_atom_site_type_symbol
_atom_site_fract_x
_atom_site_fract_y
_atom_site_fract_z
Co1 Co 0.000 0.000 0.000
Te1 Te 0.000 0.000 0.500
Te2 Te 0.250 0.250 0.250
W1 W 0.250 0.250 0.750
# - Energy: -86.5 eV per cell

(7)
# YCoTe2 | OQMD via LeMat-Bulk | PBE | relaxed
data_YCoTe2
_chemical_formula_sum 'Y4 Co4 Te8'
_cell_length_a 7.235
_cell_length_b 7.235
_cell_length_c 7.235
_cell_angle_alpha 90.00
_cell_angle_beta 90.00
_cell_angle_gamma 90.00
_symmetry_space_group_name_H-M 'F -4 3 m'
_symmetry_Int_Tables_number 216
_symmetry_space_group_name_Hall 'F -4 2 3'
loop_
_atom_site_label
_atom_site_type_symbol
_atom_site_fract_x
_atom_site_fract_y
_atom_site_fract_z
Y1 Y 0.000 0.000 0.000
Co1 Co 0.250 0.250 0.250
Te1 Te 0.000 0.000 0.500
Te2 Te 0.250 0.250 0.750
# - Energy: -78.5 eV per cell

(8)
# Y7Co2Te2 | OQMD via LeMat-Bulk | PBE | relaxed
data_Y7Co2Te2
_chemical_formula_sum 'Y14 Co4 Te4'
_cell_length_a 3.854
_cell_length_b 15.687
_cell_length_c 9.507
_cell_angle_alpha 90.00
_cell_angle_beta 90.00
_cell_angle_gamma 90.00
_symmetry_space_group_name_H-M 'I m m 2'
_symmetry_Int_Tables_number 44
_symmetry_space_group_name_Hall 'I 2 -2'
loop_
_atom_site_label
_atom_site_type_symbol
_atom_site_fract_x
_atom_site_fract_y
_atom_site_fract_z
Y1 Y 0.000 0.000 0.000
Y2 Y 0.000 0.132 0.418
Y3 Y 0.000 0.315 0.622
Y4 Y 0.000 0.352 0.269
Co1 Co 0.000 0.238 0.928
Te1 Te 0.000 0.000 0.665
Te2 Te 0.000 0.500 0.764
# - Energy: -144.9 eV per cell

(9)
# Y5CoTe3 | OQMD via LeMat-Bulk | PBE | relaxed
data_Y5CoTe3
_chemical_formula_sum 'Y5 Co1 Te3'
_cell_length_a 8.5404
_cell_length_b 8.5404
_cell_length_c 3.7469
_cell_angle_alpha 90.00
_cell_angle_beta 90.00
_cell_angle_gamma 120.00
_symmetry_space_group_name_H-M 'P -6 2 m'
_symmetry_Int_Tables_number 189
_symmetry_space_group_name_Hall 'P -6 -2'
loop_
_atom_site_label
_atom_site_type_symbol
_atom_site_fract_x
_atom_site_fract_y
_atom_site_fract_z
Y1 Y 0.0000 0.2256 0.0000
Y2 Y 0.3333 0.6667 0.0000
Co1 Co 0.0000 0.0000 0.5000
Te1 Te 0.0000 0.6108 0.5000
# - Energy above the lowest structure with this stoichiometry: 0 meV/atom

(10)
# Y5CoTe3 | OQMD via LeMat-Bulk | PBE | relaxed
data_Y5CoTe3
_chemical_formula_sum 'Y5 Co1 Te3'
_cell_length_a 8.1983
_cell_length_b 8.1983
_cell_length_c 4.1349
_cell_angle_alpha 90.00
_cell_angle_beta 90.00
_cell_angle_gamma 120.00
_symmetry_space_group_name_H-M 'P -6 2 m'
_symmetry_Int_Tables_number 189
_symmetry_space_group_name_Hall 'P -6 -2'
loop_
_atom_site_label
_atom_site_type_symbol
_atom_site_fract_x
_atom_site_fract_y
_atom_site_fract_z
Y1 Y 0.0000 0.6766 0.0000
Y2 Y 0.3333 0.6667 0.5000
Co1 Co 0.0000 0.0000 0.0000
Te1 Te 0.0000 0.2594 0.5000
# - Energy above the lowest structure with this stoichiometry: 84 meV/atom

(11)
# Y3CoTe5 | OQMD via LeMat-Bulk | PBE | relaxed
data_Y3CoTe5
_chemical_formula_sum 'Y3 Co1 Te5'
_cell_length_a 8.4614
_cell_length_b 8.4614
_cell_length_c 4.3613
_cell_angle_alpha 90.00
_cell_angle_beta 90.00
_cell_angle_gamma 120.00
_symmetry_space_group_name_H-M 'P -6 2 m'
_symmetry_Int_Tables_number 189
_symmetry_space_group_name_Hall 'P -6 -2'
loop_
_atom_site_label
_atom_site_type_symbol
_atom_site_fract_x
_atom_site_fract_y
_atom_site_fract_z
Y1 Y 0.0000 0.2680 0.0000
Co1 Co 0.0000 0.0000 0.5000
Te1 Te 0.0000 0.7090 0.5000
Te2 Te 0.3333 0.6667 0.0000
# - Energy above the lowest structure with this stoichiometry: 0 meV/atom

(12)
# Y2CoTe6 | OQMD via LeMat-Bulk | PBE | relaxed
data_Y2CoTe6
_chemical_formula_sum 'Y2 Co1 Te6'
_cell_length_a 8.3366
_cell_length_b 8.3366
_cell_length_c 3.8955
_cell_angle_alpha 90.00
_cell_angle_beta 90.00
_cell_angle_gamma 120.00
_symmetry_space_group_name_H-M 'P -6 2 m'
_symmetry_Int_Tables_number 189
_symmetry_space_group_name_Hall 'P -6 -2'
loop_
_atom_site_label
_atom_site_type_symbol
_atom_site_fract_x
_atom_site_fract_y
_atom_site_fract_z
Y1 Y 0.3333 0.6667 0.0000
Co1 Co 0.0000 0.0000 0.5000
Te1 Te 0.0000 0.2179 0.0000
Te2 Te 0.0000 0.5488 0.5000
# - Energy: -45.0 eV per cell

Please write out number 3 again, unchanged.
# Tm2CoTe6 | OQMD via LeMat-Bulk | PBE | relaxed
data_Tm2CoTe6
_chemical_formula_sum 'Tm2 Co1 Te6'
_cell_length_a 8.2786
_cell_length_b 8.2786
_cell_length_c 3.8827
_cell_angle_alpha 90.00
_cell_angle_beta 90.00
_cell_angle_gamma 120.00
_symmetry_space_group_name_H-M 'P -6 2 m'
_symmetry_Int_Tables_number 189
_symmetry_space_group_name_Hall 'P -6 -2'
loop_
_atom_site_label
_atom_site_type_symbol
_atom_site_fract_x
_atom_site_fract_y
_atom_site_fract_z
Tm1 Tm 0.3333 0.6667 0.0000
Co1 Co 0.0000 0.0000 0.5000
Te1 Te 0.0000 0.2206 0.0000
Te2 Te 0.0000 0.5510 0.5000
# - Energy: -40.6 eV per cell